Record 1
Below is MgCo after structural relaxation, with properties calculated at the PBE level.

```
data_MgCo
_symmetry_space_group_name_H-M 'P 1'
_symmetry_Int_Tables_number 1
_cell_length_a 4.439
_cell_length_b 6.084
_cell_length_c 4.312
_cell_angle_alpha 90.00
_cell_angle_beta 90.00
_cell_angle_gamma 90.00
loop_
_symmetry_equiv_pos_as_xyz
'x,y,z'
loop_
_atom_site_label
_atom_site_type_symbol
_atom_site_fract_x
_atom_site_fract_y
_atom_site_fract_z
Co1 Co 0.868 0.194 0.500
Co2 Co 0.868 0.806 0.500
Co3 Co 0.978 0.000 0.000
Co4 Co 0.348 0.000 0.500
Mg1 Mg 0.468 0.219 0.000
Mg2 Mg 0.944 0.500 0.000
Mg3 Mg 0.468 0.781 0.000
Mg4 Mg 0.390 0.500 0.500
```

## Properties
Symmetry   Pmm2 (25)
Uncorrected energy   -4.059 eV per atom

---

Record 2
Below is MgCo after structural relaxation, with properties calculated at the PBE level.

```
data_MgCo
_symmetry_space_group_name_H-M 'P 1'
_symmetry_Int_Tables_number 1
_cell_length_a 4.639
_cell_length_b 7.886
_cell_length_c 4.296
_cell_angle_alpha 90.00
_cell_angle_beta 90.00
_cell_angle_gamma 72.87
loop_
_symmetry_equiv_pos_as_xyz
'x,y,z'
loop_
_atom_site_label
_atom_site_type_symbol
_atom_site_fract_x
_atom_site_fract_y
_atom_site_fract_z
Mg1 Mg 0.406 0.250 0.000
Mg2 Mg 0.989 0.226 0.500
Mg3 Mg 0.615 0.973 0.500
Mg4 Mg 0.890 0.600 0.500
Mg5 Mg 0.056 0.950 0.000
Co1 Co 0.615 0.756 0.000
Co2 Co 0.462 0.446 0.500
Co3 Co 0.307 0.755 0.500
Co4 Co 0.772 0.443 0.000
Co5 Co 0.221 0.600 0.000
```

## Properties
Symmetry   Pm (6)
Uncorrected energy   -4.097 eV per atom

---

Record 3
Below is MgCo2 after structural relaxation, with properties calculated at the PBE level.

```
data_MgCo2
_symmetry_space_group_name_H-M 'P 1'
_symmetry_Int_Tables_number 1
_cell_length_a 4.834
_cell_length_b 4.834
_cell_length_c 4.206
_cell_angle_alpha 90.00
_cell_angle_beta 90.00
_cell_angle_gamma 90.00
loop_
_symmetry_equiv_pos_as_xyz
'x,y,z'
loop_
_atom_site_label
_atom_site_type_symbol
_atom_site_fract_x
_atom_site_fract_y
_atom_site_fract_z
Co1 Co 0.340 0.340 0.000
Co2 Co 0.840 0.160 0.500
Co3 Co 0.660 0.660 0.000
Co4 Co 0.160 0.840 0.500
Mg1 Mg 0.500 0.500 0.500
Mg2 Mg 0.000 0.000 0.000
```

## Properties
Symmetry   P4_2/mnm (136)
Uncorrected energy   -3.912 eV per atom

---

The highest uncorrected energy belongs to which entry?
MgCo2